# MnCu2Cl6, relaxed, DFT PBE
# **Raw formation energy**: -0.67 eV/atom
# **ΔE to the lowest computed polymorph**: 27 meV per atom
# **Total energy**: -3.826 eV/atom
# **Calculated density**: 3.116 g/cm3
# **Crystal system**: monoclinic
data_MnCu2Cl6
_chemical_formula_sum 'Mn4 Cu8 Cl24'
_space_group_name_H-M_alt 'C 1 2/c 1'
_space_group_IT_number 15
_cell_length_a 11.8241
_cell_length_b 10.5209
_cell_length_c 6.7929
_cell_angle_alpha 90.00
_cell_angle_beta 95.26
_cell_angle_gamma 90.00
loop_
_space_group_symop_operation_xyz
'x,y,z'
'-x,-y,-z'
'-x,y,-z+1/2'
'x,-y,z+1/2'
'x+1/2,y+1/2,z'
'-x+1/2,-y+1/2,-z'
'-x+1/2,y+1/2,-z+1/2'
'x+1/2,-y+1/2,z+1/2'
loop_
_atom_site_label
_atom_site_fract_x
_atom_site_fract_y
_atom_site_fract_z
Mn1 0.0000 0.0896 0.2500
Cu1 0.1729 0.4237 0.3115
Cl1 0.1134 0.0679 0.6269
Cl2 0.1202 0.2405 0.1441
Cl3 0.1302 0.4097 0.6209